1.
PrMoPd | GGA-PBE | optimized geometry

a = 4.726 Å, b = 4.726 Å, c = 4.726 Å
α = 60.00°, β = 60.00°, γ = 60.00°
Sites, in units of the cell vectors:
Mo: 0.250 0.250 0.250
Pd: 0.750 0.750 0.750
Pr: 0.000 0.000 0.000

For the total moment, the calculation gives 3.10 Bohr magnetons per cell. For the volume, the calculation gives 74.6 Å³ per cell. As for the relative energy among the computed polymorphs: 472 meV/atom.

2.
AcTaGe3 | GGA-PBE | optimized geometry

a = 6.511 Å, b = 6.511 Å, c = 5.939 Å
α = 90.00°, β = 90.00°, γ = 120.00°
Sites, in units of the cell vectors:
Ta: 0.000 0.000 0.000
Ta: 0.000 0.000 0.500
Ac: 0.667 0.333 0.750
Ac: 0.333 0.667 0.250
Ge: 0.397 0.198 0.250
Ge: 0.198 0.802 0.750
Ge: 0.802 0.198 0.250
Ge: 0.603 0.802 0.750
Ge: 0.198 0.397 0.750
Ge: 0.802 0.603 0.250

For the total moment, the calculation gives 0.00 Bohr magnetons per cell. For the volume, the calculation gives 218.0 Å³ per cell. Its electronic total energy is -64.8 eV for the cell shown.

3.
NbGaNiAg | GGA-PBE | optimized geometry

a = 4.435 Å, b = 4.435 Å, c = 4.435 Å
α = 60.00°, β = 60.00°, γ = 60.00°
Sites, in units of the cell vectors:
Nb: 0.250 0.250 0.250
Ni: 0.750 0.750 0.750
Ga: 0.000 0.000 0.000
Ag: 0.500 0.500 0.500

For the total moment, the calculation gives 0.00 Bohr magnetons per cell. For the volume, the calculation gives 61.7 Å³ per cell. Its electronic total energy is -21.1 eV for the cell shown.

4.
Zn2NiGeAs4 | GGA-PBE | optimized geometry

a = 6.901 Å, b = 6.901 Å, c = 6.901 Å
α = 132.16°, β = 132.16°, γ = 69.98°
Sites, in units of the cell vectors:
Zn: 0.250 0.750 0.500
Zn: 0.500 0.500 0.000
Ge: 0.000 0.000 0.000
As: 0.863 0.897 0.499
As: 0.637 0.137 0.034
As: 0.397 0.363 0.501
As: 0.103 0.603 0.966
Ni: 0.750 0.250 0.500

For the total moment, the calculation gives 0.00 Bohr magnetons per cell. For the volume, the calculation gives 177.1 Å³ per cell. Its electronic total energy is -31.8 eV for the cell shown.

5.
MgBeCuGe | GGA-PBE | optimized geometry

a = 4.345 Å, b = 4.345 Å, c = 4.345 Å
α = 60.00°, β = 60.00°, γ = 60.00°
Sites, in units of the cell vectors:
Mg: 0.250 0.250 0.250
Be: 0.500 0.500 0.500
Ge: 0.000 0.000 0.000
Cu: 0.750 0.750 0.750

For the volume, the calculation gives 58.0 Å³ per cell. As for the relative energy among the computed polymorphs: 64 meV/atom.

6.
Pr2TmSe3 | GGA-PBE | optimized geometry

a = 4.138 Å, b = 4.138 Å, c = 10.416 Å
α = 90.00°, β = 90.00°, γ = 120.00°
Sites, in units of the cell vectors:
Pr: 0.333 0.667 0.671
Pr: 0.667 0.333 0.329
Tm: 0.000 0.000 0.000
Se: 0.000 0.000 0.500
Se: 0.333 0.667 0.149
Se: 0.667 0.333 0.851

For the total moment, the calculation gives 0.01 Bohr magnetons per cell. For the volume, the calculation gives 154.5 Å³ per cell. Its electronic total energy is -35.2 eV for the cell shown.

7.
SrFeAg2 | GGA-PBE | optimized geometry

a = 4.959 Å, b = 4.959 Å, c = 4.959 Å
α = 60.00°, β = 60.00°, γ = 60.00°
Sites, in units of the cell vectors:
Fe: 0.250 0.250 0.250
Ag: 0.000 0.000 0.000
Ag: 0.750 0.750 0.750
Sr: 0.500 0.500 0.500

For the total moment, the calculation gives 3.06 Bohr magnetons per cell. For the volume, the calculation gives 86.2 Å³ per cell. Its electronic total energy is -14.0 eV for the cell shown.

8.
TlReB4 | GGA-PBE | optimized geometry

a = 2.986 Å, b = 2.986 Å, c = 9.118 Å
α = 90.00°, β = 90.00°, γ = 120.00°
Sites, in units of the cell vectors:
B: 0.667 0.333 0.316
B: 0.333 0.667 0.316
B: 0.667 0.333 0.684
B: 0.333 0.667 0.684
Re: 0.000 0.000 0.500
Tl: 0.000 0.000 0.000

For the total moment, the calculation gives 0.00 Bohr magnetons per cell. For the volume, the calculation gives 70.4 Å³ per cell. As for the relative energy among the computed polymorphs: 0 meV/atom.